Tb2Sm2DyHo2, relaxed, DFT PBE; calculated total energy = -31.5 eV per cell; D(E_F) = 18.06 states/eV per cell; SG = R-3m, No. 166; crystal system = trigonal; size of the total moment = 0.0 μB per formula unit
1.0
5.6815 0.0000 0.0000
2.8407 4.9203 0.0000
2.8407 1.6401 8.1282
Sm Ho Dy Tb
2 2 1 2
direct
0.8609 0.8609 0.4174 Sm
0.1391 0.1391 0.5826 Sm
0.5739 0.5739 0.2782 Ho
0.4261 0.4261 0.7218 Ho
0.0000 0.0000 0.0000 Dy
0.7173 0.7173 0.8482 Tb
0.2827 0.2827 0.1518 Tb

TbSm2Dy2Ho4, relaxed, DFT PBE; calculated total energy = -41.6 eV per cell; D(E_F) = 11.68 states/eV per cell; SG = C2/m, No. 12; crystal system = monoclinic; size of the total moment = 0.0 μB per formula unit
1.0
3.5862 0.0000 0.0000
-1.7931 9.2968 -0.4813
0.0000 -3.6955 8.7897
Tb Ho Dy Sm
1 4 2 2
direct
0.0000 0.0000 0.0000 Tb
0.4812 0.9624 0.6682 Ho
0.5188 0.0376 0.3318 Ho
0.8150 0.6301 0.6662 Ho
0.1850 0.3699 0.3338 Ho
0.6665 0.3330 0.0017 Dy
0.3335 0.6670 0.9983 Dy
0.1478 0.2955 0.6654 Sm
0.8522 0.7045 0.3346 Sm

Tb2Sm6DyHo3, relaxed, DFT PBE; calculated total energy = -55.7 eV per cell; D(E_F) = 14.48 states/eV per cell; SG = C2/m, No. 12; crystal system = monoclinic; size of the total moment = 0.0 μB per formula unit
1.0
6.2128 0.0003 0.0095
-3.1046 5.3814 0.0095
-1.0495 -1.8173 11.6393
Tb Sm Ho Dy
2 6 3 1
direct
0.3334 0.6666 0.0000 Tb
0.6666 0.3334 0.0000 Tb
0.9160 0.5828 0.7492 Sm
0.7508 0.7508 0.2510 Sm
0.4172 0.0840 0.2508 Sm
0.0840 0.4172 0.2508 Sm
0.2492 0.2492 0.7490 Sm
0.5828 0.9160 0.7492 Sm
0.8333 0.1667 0.5000 Ho
0.1667 0.8333 0.5000 Ho
0.5000 0.5000 0.5000 Ho
0.0000 0.0000 0.0000 Dy

Tb2SmDy2Ho4, relaxed, DFT PBE; calculated total energy = -41.5 eV per cell; D(E_F) = 11.78 states/eV per cell; SG = C2/m, No. 12; crystal system = monoclinic; size of the total moment = 0.0 μB per formula unit
1.0
-1.9718 0.5254 -2.9394
3.3682 -8.6862 -1.6340
-7.8593 0.3613 5.3367
Tb Sm Ho Dy
2 1 4 2
direct
0.1478 0.2956 0.6656 Tb
0.8522 0.7044 0.3344 Tb
0.0000 0.0000 0.0000 Sm
0.5190 0.0380 0.3346 Ho
0.1857 0.3713 0.3350 Ho
0.8143 0.6287 0.6650 Ho
0.4810 0.9620 0.6654 Ho
0.3327 0.6655 0.9990 Dy
0.6673 0.3345 0.0010 Dy

Tb2Sm2DyHo4, relaxed, DFT PBE; calculated total energy = -41.6 eV per cell; D(E_F) = 11.89 states/eV per cell; SG = C2/m, No. 12; crystal system = monoclinic; size of the total moment = 0.0 μB per formula unit
1.0
-2.8521 1.5957 -1.4793
-3.8835 -3.7439 7.7986
4.1355 8.5073 1.2036
Ho Tb Sm Dy
4 2 2 1
direct
0.4808 0.9616 0.6658 Ho
0.1854 0.3708 0.3352 Ho
0.8146 0.6292 0.6648 Ho
0.5192 0.0384 0.3342 Ho
0.8527 0.7053 0.3363 Tb
0.1473 0.2947 0.6637 Tb
0.6659 0.3318 0.9999 Sm
0.3341 0.6682 0.0001 Sm
0.0000 0.0000 0.0000 Dy

TbSm6Dy2Ho3, relaxed, DFT PBE; calculated total energy = -55.7 eV per cell; D(E_F) = 14.37 states/eV per cell; SG = C2/m, No. 12; crystal system = monoclinic; size of the total moment = 0.0 μB per formula unit
1.0
-1.4747 -6.0187 0.4171
2.3361 2.9715 4.9281
-11.0488 3.8823 1.5964
Sm Tb Ho Dy
6 1 3 2
direct
0.5827 0.9161 0.7493 Sm
0.9161 0.5827 0.7493 Sm
0.0839 0.4173 0.2507 Sm
0.2495 0.2495 0.7493 Sm
0.4173 0.0839 0.2507 Sm
0.7505 0.7505 0.2507 Sm
0.0000 0.0000 0.0000 Tb
0.1668 0.8332 0.5000 Ho
0.5000 0.5000 0.5000 Ho
0.8332 0.1668 0.5000 Ho
0.6666 0.3334 0.0000 Dy
0.3334 0.6666 0.0000 Dy

Tb2Sm4Dy2Ho, relaxed, DFT PBE; calculated total energy = -41.8 eV per cell; D(E_F) = 12.91 states/eV per cell; SG = C2/m, No. 12; crystal system = monoclinic; size of the total moment = 0.0 μB per formula unit
1.0
5.0639 0.0000 0.0000
-2.5319 7.6036 0.0221
0.0000 -2.5601 7.5820
Dy Sm Tb Ho
2 4 2 1
direct
0.3333 0.6666 0.0002 Dy
0.6667 0.3334 0.9998 Dy
0.2224 0.4448 0.3324 Sm
0.7776 0.5552 0.6676 Sm
0.5548 0.1096 0.3318 Sm
0.4452 0.8904 0.6682 Sm
0.1113 0.2226 0.6685 Tb
0.8887 0.7774 0.3315 Tb
0.0000 0.0000 0.0000 Ho

Tb2Sm3Dy6Ho, relaxed, DFT PBE; calculated total energy = -55.4 eV per cell; D(E_F) = 15.31 states/eV per cell; SG = C2/m, No. 12; crystal system = monoclinic; size of the total moment = 0.0 μB per formula unit
1.0
-2.1079 -5.7946 0.2841
5.9646 1.1677 1.0780
-3.5956 2.9315 10.8523
Dy Sm Tb Ho
6 3 2 1
direct
0.5838 0.9170 0.7522 Dy
0.0830 0.4162 0.2478 Dy
0.4162 0.0830 0.2478 Dy
0.2501 0.2501 0.7520 Dy
0.9170 0.5838 0.7522 Dy
0.7499 0.7499 0.2480 Dy
0.8333 0.1667 0.5000 Sm
0.1667 0.8333 0.5000 Sm
0.5000 0.5000 0.5000 Sm
0.6666 0.3334 0.0000 Tb
0.3334 0.6666 0.0000 Tb
0.0000 0.0000 0.0000 Ho

TbSmDy2Ho2, relaxed, DFT PBE; calculated total energy = -52.1 eV per cell; D(E_F) = 18.36 states/eV per cell; SG = Pnnm, No. 58; crystal system = orthorhombic; size of the total moment = 0.0 μB per formula unit
1.0
3.3778 0.0000 0.0000
0.0000 6.5759 0.0000
0.0000 0.0000 17.6585
Dy Ho Sm Tb
4 4 2 2
direct
0.5000 0.2673 0.3170 Dy
0.5000 0.7327 0.6830 Dy
0.0000 0.2327 0.8170 Dy
0.0000 0.7673 0.1830 Dy
0.5000 0.2314 0.6491 Ho
0.0000 0.2686 0.1491 Ho
0.5000 0.7686 0.3509 Ho
0.0000 0.7314 0.8509 Ho
0.5000 0.5000 0.0000 Sm
0.0000 0.0000 0.5000 Sm
0.0000 0.0000 0.0000 Tb
0.5000 0.5000 0.5000 Tb

Tb5Sm2DyHo, relaxed, DFT PBE; calculated total energy = -78.4 eV per cell; D(E_F) = 24.80 states/eV per cell; SG = I4/mcm, No. 140; crystal system = tetragonal; size of the total moment = 0.0 μB per formula unit
1.0
-3.5759 -2.1580 -7.5231
2.2549 -8.2045 1.2817
-6.2107 3.8622 6.7651
Tb Ho Sm Dy
10 2 4 2
direct
0.0714 0.5714 0.7202 Tb
0.1488 0.0714 0.7202 Tb
0.8512 0.9286 0.2798 Tb
0.0000 0.0000 0.0000 Tb
0.5000 0.5000 0.0000 Tb
0.4286 0.3512 0.2798 Tb
0.3512 0.8512 0.2798 Tb
0.5714 0.6488 0.7202 Tb
0.6488 0.1488 0.7202 Tb
0.9286 0.4286 0.2798 Tb
0.7500 0.2500 0.5000 Ho
0.2500 0.7500 0.5000 Ho
0.3818 0.8818 0.0000 Sm
0.8818 0.6182 0.0000 Sm
0.1182 0.3818 0.0000 Sm
0.6182 0.1182 0.0000 Sm
0.7500 0.7500 0.5000 Dy
0.2500 0.2500 0.5000 Dy

Tb2SmDy6Ho, relaxed, DFT PBE; calculated total energy = -90.0 eV per cell; D(E_F) = 28.15 states/eV per cell; SG = C2/c, No. 15; crystal system = monoclinic; size of the total moment = 0.0 μB per formula unit
1.0
0.1815 7.2270 6.2720
-7.7810 -2.9779 2.7242
7.2083 -3.7967 3.2340
Dy Sm Tb Ho
12 2 4 2
direct
0.8803 0.2920 0.5064 Dy
0.3803 0.5064 0.2920 Dy
0.5565 0.7488 0.1232 Dy
0.6197 0.4936 0.7080 Dy
0.1197 0.7080 0.4936 Dy
0.3158 0.9813 0.4311 Dy
0.0565 0.1232 0.7488 Dy
0.6842 0.0187 0.5689 Dy
0.9435 0.8768 0.2512 Dy
0.1842 0.5689 0.0187 Dy
0.4435 0.2512 0.8768 Dy
0.8158 0.4311 0.9813 Dy
0.7500 0.0231 0.9769 Sm
0.2500 0.9769 0.0231 Sm
0.4555 0.8025 0.6986 Tb
0.9555 0.6986 0.8025 Tb
0.0445 0.3014 0.1975 Tb
0.5445 0.1975 0.3014 Tb
0.7500 0.5913 0.4087 Ho
0.2500 0.4087 0.5913 Ho

Tb2Sm2DyHo, relaxed, DFT PBE; calculated total energy = -52.6 eV per cell; D(E_F) = 18.86 states/eV per cell; SG = Pnnm, No. 58; crystal system = orthorhombic; size of the total moment = 0.0 μB per formula unit
1.0
3.3783 0.0000 0.0000
0.0000 6.5936 0.0000
0.0000 0.0000 17.8377
Ho Tb Dy Sm
2 4 2 4
direct
0.5000 0.5000 0.5000 Ho
0.0000 0.0000 0.0000 Ho
0.5000 0.2295 0.6469 Tb
0.0000 0.2705 0.1469 Tb
0.0000 0.7295 0.8531 Tb
0.5000 0.7705 0.3531 Tb
0.0000 0.0000 0.5000 Dy
0.5000 0.5000 0.0000 Dy
0.5000 0.7328 0.6834 Sm
0.5000 0.2672 0.3166 Sm
0.0000 0.2328 0.8166 Sm
0.0000 0.7672 0.1834 Sm

Tb4Sm2Dy2Ho, relaxed, DFT PBE; calculated total energy = -41.7 eV per cell; D(E_F) = 11.56 states/eV per cell; SG = C2/m, No. 12; crystal system = monoclinic; size of the total moment = 0.0 μB per formula unit
1.0
-2.9589 -0.7961 -1.8839
-3.1099 -1.3486 8.8879
-0.4287 9.0310 -3.1429
Dy Tb Sm Ho
2 4 2 1
direct
0.6663 0.3326 0.0009 Dy
0.3337 0.6674 0.9991 Dy
0.5185 0.0370 0.3309 Tb
0.1848 0.3695 0.3323 Tb
0.8152 0.6305 0.6677 Tb
0.4815 0.9630 0.6691 Tb
0.8519 0.7038 0.3332 Sm
0.1481 0.2962 0.6668 Sm
0.0000 0.0000 0.0000 Ho

Tb3Sm2DyHo6, relaxed, DFT PBE; calculated total energy = -55.2 eV per cell; D(E_F) = 15.14 states/eV per cell; SG = C2/m, No. 12; crystal system = monoclinic; size of the total moment = 0.0 μB per formula unit
1.0
6.1500 0.0015 0.0096
-3.0722 5.3277 0.0096
-1.0382 -1.7976 11.5643
Ho Sm Dy Tb
6 2 1 3
direct
0.0842 0.4171 0.2510 Ho
0.7514 0.7514 0.2512 Ho
0.9158 0.5829 0.7490 Ho
0.2486 0.2486 0.7488 Ho
0.5829 0.9158 0.7490 Ho
0.4171 0.0842 0.2510 Ho
0.6666 0.3334 0.0000 Sm
0.3334 0.6666 0.0000 Sm
0.0000 0.0000 0.0000 Dy
0.5000 0.5000 0.5000 Tb
0.8334 0.1666 0.5000 Tb
0.1666 0.8334 0.5000 Tb

TbSm2Dy2Ho, relaxed, DFT PBE; calculated total energy = -52.5 eV per cell; D(E_F) = 18.10 states/eV per cell; SG = Pnnm, No. 58; crystal system = orthorhombic; size of the total moment = 0.0 μB per formula unit
1.0
3.3819 0.0000 0.0000
0.0000 6.6330 0.0000
0.0000 0.0000 17.5931
Dy Sm Ho Tb
4 4 2 2
direct
0.0000 0.2389 0.1787 Dy
0.0000 0.7611 0.8213 Dy
0.5000 0.7389 0.3213 Dy
0.5000 0.2611 0.6787 Dy
0.0000 0.2656 0.8499 Sm
0.5000 0.2344 0.3499 Sm
0.0000 0.7344 0.1501 Sm
0.5000 0.7656 0.6501 Sm
0.0000 0.0000 0.5000 Ho
0.5000 0.5000 0.0000 Ho
0.0000 0.0000 0.0000 Tb
0.5000 0.5000 0.5000 Tb

TbSm2Dy2Ho2, relaxed, DFT PBE; calculated total energy = -31.4 eV per cell; D(E_F) = 18.55 states/eV per cell; SG = R-3m, No. 166; crystal system = trigonal; size of the total moment = 0.0 μB per formula unit
1.0
5.6806 0.0000 0.0000
2.8403 4.9196 0.0000
2.8403 1.6399 8.1062
Dy Tb Sm Ho
2 1 2 2
direct
0.7187 0.7187 0.8438 Dy
0.2813 0.2813 0.1562 Dy
0.0000 0.0000 0.0000 Tb
0.1387 0.1387 0.5838 Sm
0.8613 0.8613 0.4162 Sm
0.5756 0.5756 0.2732 Ho
0.4244 0.4244 0.7268 Ho

Tb6Sm2DyHo3, relaxed, DFT PBE; calculated total energy = -55.4 eV per cell; D(E_F) = 15.35 states/eV per cell; SG = C2/m, No. 12; crystal system = monoclinic; size of the total moment = 0.0 μB per formula unit
1.0
-5.3842 2.9861 0.2912
2.0422 -2.1444 -5.4058
-4.3719 -10.3458 3.6180
Ho Sm Dy Tb
3 2 1 6
direct
0.1666 0.8334 0.5000 Ho
0.8334 0.1666 0.5000 Ho
0.5000 0.5000 0.5000 Ho
0.6667 0.3333 0.0000 Sm
0.3333 0.6667 0.0000 Sm
0.0000 0.0000 0.0000 Dy
0.0844 0.4173 0.2520 Tb
0.4173 0.0844 0.2520 Tb
0.9156 0.5827 0.7480 Tb
0.2485 0.2485 0.7478 Tb
0.5827 0.9156 0.7480 Tb
0.7515 0.7515 0.2522 Tb

TbSmDy2Ho4, relaxed, DFT PBE; calculated total energy = -66.7 eV per cell; D(E_F) = 33.32 states/eV per cell; SG = C2/c, No. 15; crystal system = monoclinic; size of the total moment = 3.7 μB per formula unit
1.0
9.3094 -0.0535 -1.7473
-0.0600 9.3094 -1.7473
-5.8661 -5.8702 8.2871
Ho Sm Tb Dy
8 2 2 4
direct
0.2515 0.7505 0.0011 Ho
0.7506 0.7531 0.5014 Ho
0.7486 0.2495 0.9989 Ho
0.2531 0.2506 0.0014 Ho
0.7495 0.2485 0.4989 Ho
0.2494 0.2469 0.4986 Ho
0.7469 0.7494 0.9986 Ho
0.2505 0.7514 0.5011 Ho
0.0000 0.5000 0.0000 Sm
0.0000 0.5000 0.5000 Sm
0.0000 0.0000 0.0000 Tb
0.5000 0.5000 0.5000 Tb
0.5000 0.5000 0.0000 Dy
0.5000 0.0000 0.0000 Dy
0.0000 0.0000 0.5000 Dy
0.5000 0.0000 0.5000 Dy

Tb2SmDyHo4, relaxed, DFT PBE; calculated total energy = -66.7 eV per cell; D(E_F) = 33.52 states/eV per cell; SG = Imma, No. 74; crystal system = orthorhombic; size of the total moment = 3.7 μB per formula unit
1.0
-5.1165 -6.9757 -3.8567
0.7878 -5.2235 7.8618
-1.6634 11.5782 -0.8931
Sm Tb Dy Ho
2 4 2 8
direct
0.0000 0.5000 0.0000 Sm
0.0000 0.5000 0.5000 Sm
0.5000 0.0000 0.5000 Tb
0.5000 0.5000 0.0000 Tb
0.0000 0.0000 0.5000 Tb
0.5000 0.0000 0.0000 Tb
0.5000 0.5000 0.5000 Dy
0.0000 0.0000 0.0000 Dy
0.7487 0.2496 0.4994 Ho
0.7497 0.2487 0.9994 Ho
0.2509 0.2492 0.0005 Ho
0.7491 0.7508 0.9995 Ho
0.2504 0.7513 0.0006 Ho
0.7492 0.7509 0.5005 Ho
0.2513 0.7503 0.5006 Ho
0.2508 0.2491 0.4995 Ho

Tb4SmDyHo2, relaxed, DFT PBE; calculated total energy = -36.9 eV per cell; D(E_F) = 10.58 states/eV per cell; SG = P4/mmm, No. 123; crystal system = tetragonal; size of the total moment = 0.0 μB per formula unit
1.0
-5.0060 0.4615 -0.1388
-0.3559 -4.5144 -2.1748
-1.0055 -8.8331 6.8906
Ho Tb Sm Dy
2 4 1 1
direct
0.5000 0.0000 0.5000 Ho
0.0000 0.0000 0.0000 Ho
0.5000 0.7484 0.2516 Tb
0.0000 0.7512 0.7488 Tb
0.0000 0.2488 0.2512 Tb
0.5000 0.2516 0.7484 Tb
0.5000 0.5000 0.0000 Sm
0.0000 0.5000 0.5000 Dy